Material: Tb5Sm2Tm4
Method: DFT, PBE-GGA
State: relaxed

Summary:
formation energy: 0.149 eV/atom
uncorrected energy: -4.44 eV/atom
energy relative to the lowest polymorph listed for this composition: 0.0 kJ per mole of atoms

Cell lengths 11.012, 7.299, 9.211 Å; angles 90.00, 107.60, 90.00 degrees
Space group C2/m (No. 12)
Inequivalent atoms, fractional coordinates:
Tb: 0.000 0.000 0.000 x2
Tb: 0.067 0.281 0.273 x8
Sm: 0.146 0.000 0.622 x4
Tm: 0.168 0.500 0.622 x4
Tm: 0.185 0.500 0.998 x4